RbNbZn2F8 | PBE-GGA | optimized geometry

## Properties
spin magnetization = 0.167 μB per atom
mass density = 3.74 g/cm3
formation energy (no corrections) = -2.42 eV per atom
VASP energy = -57.604 eV/cell
volume = 204.8 Å³/f.u.
density of states at the Fermi level = 4.855 states/eV per cell

Lattice parameters (Å, degrees): 5.364 5.364 8.784 72.22 72.22 60.00
Last column: magnetic moment on the atom in μB.
Sites, in units of the cell vectors:
1 F 0.954 0.631 0.156  0.01
2 F 0.824 0.824 0.529  0.00
3 F 0.176 0.176 0.471  0.00
4 F 0.259 0.954 0.156  0.01
5 F 0.369 0.741 0.844  0.01
6 F 0.631 0.259 0.156  0.01
7 F 0.046 0.369 0.844  0.01
8 F 0.741 0.046 0.844  0.01
9 Zn 0.748 0.748 0.755  0.01
10 Zn 0.252 0.252 0.245  0.01
11 Nb 0.000 0.000 0.000  1.72
12 Rb 0.500 0.500 0.500  0.00